Here is TbTlPd after structural relaxation from Alexandria. Energies are from PBE.

POSCAR file:
```
TbTlPd
1.0
-0.907 1.968 -4.243
-4.294 1.861 -0.893
-0.519 4.721 -0.375
Tb Tl Pd
1 1 1
Cartesian
0.000 0.000 0.000
-2.860 4.275 -2.756
-1.430 2.138 -1.378
```

Calculated values
- formation energy (eV/atom) = -0.522
- ρ (g/cm³) = 10.20
- energy (eV for the cell shown) = -13.755